La2IF after structural relaxation, computed with PBE.

It has space group Fm-3m (No. 225), with a = 7.500 Å, b = 7.500 Å, c = 7.500 Å, α = 90.00°, β = 90.00° and γ = 90.00°. The asymmetric unit holds La at (0.250, 0.250, 0.250), I at (0.000, 0.000, 0.000) and F at (0.000, 0.000, 0.500).

Its excess energy over the best structure of this formula in the dataset is 417.3 meV/atom. The value obtained for the formation energy from raw total energies is -1.2422 eV/atom. As for the total magnetization: 0.00 μB/f.u. For the volume, the calculation gives 422 Å³ per cell. The calculated density is 6.67 g/cm³.

MgTaHSe2 after structural relaxation, computed with PBE.

It has space group P4/mmm (No. 123), with a = 4.977 Å, b = 4.977 Å, c = 5.606 Å, α = 90.00°, β = 90.00° and γ = 90.00°. The asymmetric unit holds Mg at (0.000, 0.000, 0.000), Ta at (0.000, 0.000, 0.500), H at (0.500, 0.500, 0.000) and Se at (0.000, 0.500, 0.500).

As for the total magnetization: 1.17 μB/f.u. For the volume, the calculation gives 139 Å³ per cell. The calculated density is 4.35 g/cm³. The value obtained for the electronic total energy is -0.160 hartree per atom.

LiBe2Rh after structural relaxation, computed with PBE.

It has space group I-42d (No. 122), with a = 3.386 Å, b = 3.386 Å, c = 16.018 Å, α = 90.00°, β = 90.00° and γ = 90.00°. The asymmetric unit holds Li at (0.000, 0.000, 0.000), Be at (0.215, 0.250, 0.625) and Rh at (0.000, 0.000, 0.500).

As for the total magnetization: 0.00 μB/f.u. For the volume, the calculation gives 184 Å³ per cell. The formation energy is 172.0 meV per atom. The calculated density is 4.63 g/cm³.

Dy3Ho3Er4 after structural relaxation, computed with PBE.

It has space group Amm2 (No. 38), with a = 3.646 Å, b = 13.079 Å, c = 13.084 Å, α = 90.00°, β = 90.00° and γ = 90.00°. The asymmetric unit holds Dy at (0.000, 0.000, 0.000), Dy at (0.000, 0.173, 0.673), Ho at (0.000, 0.000, 0.346), Ho at (0.500, 0.250, 0.422), Er at (0.500, 0.000, 0.547), Er at (0.500, 0.000, 0.798) and Er at (0.500, 0.125, 0.173).

As for the total magnetization: 0.00 μB/f.u. For the volume, the calculation gives 624 Å³ per cell. The formation energy is 92.9 meV per atom. The calculated density is 8.79 g/cm³.

Li2IrRh after structural relaxation, computed with PBE.

It has space group P4/mmm (No. 123), with a = 2.578 Å, b = 2.578 Å, c = 8.332 Å, α = 90.00°, β = 90.00° and γ = 90.00°. The asymmetric unit holds Li at (0.000, 0.000, 0.249), Ir at (0.500, 0.500, 0.000) and Rh at (0.500, 0.500, 0.500).

Its excess energy over the best structure of this formula in the dataset is 208.9 meV/atom. As for the total magnetization: 0.00 μB/f.u. For the volume, the calculation gives 55 Å³ per cell. The formation energy is -7.6 meV per atom. The calculated density is 9.26 g/cm³.

SrSb5 after structural relaxation, computed with PBE.

It has space group Amm2 (No. 38), with a = 5.136 Å, b = 4.160 Å, c = 17.482 Å, α = 90.00°, β = 90.00° and γ = 90.00°. The asymmetric unit holds Sr at (0.000, 0.000, 0.000), Sb at (0.000, 0.000, 0.337), Sb at (0.000, 0.000, 0.711), Sb at (0.500, 0.000, 0.148), Sb at (0.500, 0.000, 0.529) and Sb at (0.500, 0.000, 0.822).

Its excess energy over the best structure of this formula in the dataset is 60.2 meV/atom. The value obtained for the formation energy from raw total energies is -0.1892 eV/atom. As for the total magnetization: 0.00 μB/f.u. For the volume, the calculation gives 374 Å³ per cell. The calculated density is 6.19 g/cm³.

KPmPt2O8 after structural relaxation, computed with PBE.

It has space group P-3 (No. 147), with a = 5.8489 Å, b = 5.8489 Å, c = 7.4742 Å, α = 90.00°, β = 90.00° and γ = 120.00°. The asymmetric unit holds K at (0.0000, 0.0000, 0.0000), Pm at (0.0000, 0.0000, 0.5000), Pt at (0.3333, 0.6667, 0.4577), O at (0.0657, 0.3948, 0.6232) and O at (0.3333, 0.6667, 0.2099).

The value obtained for the formation energy from raw total energies is -0.7064 eV/atom. As for the total magnetization: 0.00 μB/f.u. For the volume, the calculation gives 221 Å³ per cell. The calculated density is 5.27 g/cm³.

HgPCS2 after structural relaxation, computed with PBE.

It has space group P4/mmm (No. 123), with a = 5.056 Å, b = 5.056 Å, c = 4.977 Å, α = 90.00°, β = 90.00° and γ = 90.00°. The asymmetric unit holds Hg at (0.000, 0.000, 0.000), P at (0.000, 0.000, 0.500), C at (0.500, 0.500, 0.500) and S at (0.000, 0.500, 0.000).

Its excess energy over the best structure of this formula in the dataset is 1279.3 meV/atom. The value obtained for the formation energy from raw total energies is 2.4959 eV/atom. As for the total magnetization: 2.06 μB/f.u. For the volume, the calculation gives 127 Å³ per cell. The calculated density is 4.02 g/cm³.

Tb6CdAg after structural relaxation, computed with PBE.

It has space group R-3 (No. 148, hexagonal axes), with a = 8.8868 Å, b = 8.8868 Å, c = 10.0056 Å, α = 90.00°, β = 90.00° and γ = 120.00°. The asymmetric unit holds Tb at (0.0221, 0.2498, 0.2246), Cd at (0.0000, 0.0000, 0.5000) and Ag at (0.0000, 0.0000, 0.0000).

Its excess energy over the best structure of this formula in the dataset is 96.6 meV/atom. As for the total magnetization: 0.00 μB/f.u. For the volume, the calculation gives 684 Å³ per cell. The formation energy is -36.9 meV per atom. The calculated density is 8.55 g/cm³.

RbMnS2N after structural relaxation, computed with PBE.

It has space group P4/mmm (No. 123), with a = 5.482 Å, b = 5.482 Å, c = 4.289 Å, α = 90.00°, β = 90.00° and γ = 90.00°. The asymmetric unit holds Rb at (0.000, 0.000, 0.000), Mn at (0.500, 0.500, 0.500), S at (0.000, 0.500, 0.000) and N at (0.000, 0.000, 0.500).

Its excess energy over the best structure of this formula in the dataset is 2066.6 meV/atom. The value obtained for the formation energy from raw total energies is 2.0728 eV/atom. As for the total magnetization: 4.55 μB/f.u. For the volume, the calculation gives 129 Å³ per cell. The calculated density is 2.82 g/cm³.

KTaO3 after structural relaxation, computed with PBE.

It has space group Pm-3m (No. 221), with a = 4.030 Å, b = 4.030 Å, c = 4.030 Å, α = 90.00°, β = 90.00° and γ = 90.00°. The asymmetric unit holds K at (0.000, 0.000, 0.000), Ta at (0.500, 0.500, 0.500) and O at (0.000, 0.500, 0.500).

The value obtained for the formation energy from raw total energies is -2.6623 eV/atom. As for the total magnetization: 0.00 μB/f.u. For the volume, the calculation gives 65 Å³ per cell. The calculated density is 6.80 g/cm³.

LiCaNi2 after structural relaxation, computed with PBE.

It has space group Imm2 (No. 44), with a = 4.024 Å, b = 4.612 Å, c = 7.078 Å, α = 90.00°, β = 90.00° and γ = 90.00°. The asymmetric unit holds Li at (0.000, 0.000, 0.000), Ca at (0.000, 0.500, 0.217), Ni at (0.000, 0.000, 0.432) and Ni at (0.000, 0.500, 0.762).

Its excess energy over the best structure of this formula in the dataset is 141.3 meV/atom. As for the total magnetization: 0.00 μB/f.u. For the volume, the calculation gives 131 Å³ per cell. The formation energy is 93.8 meV per atom. The calculated density is 4.16 g/cm³.

Cs3Ca2NbO6 after structural relaxation, computed with PBE.

It has space group C2/m (No. 12), with a = 6.074 Å, b = 10.526 Å, c = 7.058 Å, α = 90.00°, β = 106.47° and γ = 90.00°. The asymmetric unit holds Cs at (0.000, 0.000, 0.000), Cs at (0.000, 0.332, 0.000), Ca at (0.000, 0.167, 0.500), Nb at (0.000, 0.500, 0.500), O at (0.199, 0.356, 0.664) and O at (0.232, 0.500, 0.333).

The value obtained for the formation energy from raw total energies is -2.2286 eV/atom. As for the total magnetization: 0.00 μB/f.u. For the volume, the calculation gives 433 Å³ per cell. The calculated density is 5.12 g/cm³.

AcHo2Bi after structural relaxation, computed with PBE.

It has space group P4/mmm (No. 123), with a = 4.046 Å, b = 4.046 Å, c = 7.929 Å, α = 90.00°, β = 90.00° and γ = 90.00°. The asymmetric unit holds Ac at (0.000, 0.000, 0.000), Ho at (0.500, 0.500, 0.291) and Bi at (0.000, 0.000, 0.500).

Its excess energy over the best structure of this formula in the dataset is 0.0 meV/atom. As for the total magnetization: 0.00 μB/f.u. For the volume, the calculation gives 130 Å³ per cell. The formation energy is -319.6 meV per atom. The calculated density is 9.80 g/cm³.

Sb2TePb after structural relaxation, computed with PBE.

It has space group Cmm2 (No. 35), with a = 3.841 Å, b = 5.347 Å, c = 11.322 Å, α = 90.00°, β = 90.00° and γ = 90.00°. The asymmetric unit holds Sb at (0.000, 0.000, 0.000), Sb at (0.000, 0.500, 0.226), Te at (0.000, 0.000, 0.486) and Pb at (0.000, 0.500, 0.743).

Its excess energy over the best structure of this formula in the dataset is 303.3 meV/atom. The value obtained for the formation energy from raw total energies is 0.1608 eV/atom. As for the total magnetization: 0.00 μB/f.u. For the volume, the calculation gives 233 Å³ per cell. The calculated density is 8.26 g/cm³.

InTe2P after structural relaxation, computed with PBE.

It has space group P4mm (No. 99), with a = 4.289 Å, b = 4.289 Å, c = 6.286 Å, α = 90.00°, β = 90.00° and γ = 90.00°. The asymmetric unit holds In at (0.000, 0.000, 0.000), Te at (0.000, 0.000, 0.478), Te at (0.500, 0.500, 0.921) and P at (0.500, 0.500, 0.522).

Its excess energy over the best structure of this formula in the dataset is 43.9 meV/atom. The value obtained for the formation energy from raw total energies is 0.0680 eV/atom. As for the total magnetization: 0.00 μB/f.u. For the volume, the calculation gives 116 Å³ per cell. The calculated density is 5.76 g/cm³.

NaSr3Ir after structural relaxation, computed with PBE.

It has space group I-4m2 (No. 119), with a = 6.756 Å, b = 6.756 Å, c = 19.613 Å, α = 90.00°, β = 90.00° and γ = 90.00°. The asymmetric unit holds Na at (0.000, 0.000, 0.197), Sr at (0.000, 0.246, 0.366), Sr at (0.000, 0.500, 0.539), Ir at (0.000, 0.000, 0.500) and Ir at (0.000, 0.500, 0.250).

Its excess energy over the best structure of this formula in the dataset is 345.2 meV/atom. As for the total magnetization: 0.00 μB/f.u. For the volume, the calculation gives 895 Å³ per cell. The formation energy is 222.3 meV per atom. The calculated density is 3.55 g/cm³.

BeVH2 after structural relaxation, computed with PBE.

It has space group Fm-3m (No. 225), with a = 4.647 Å, b = 4.647 Å, c = 4.647 Å, α = 90.00°, β = 90.00° and γ = 90.00°. The asymmetric unit holds Be at (0.000, 0.000, 0.000), V at (0.000, 0.000, 0.500) and H at (0.250, 0.250, 0.250).

Its excess energy over the best structure of this formula in the dataset is 211.6 meV/atom. As for the total magnetization: 0.00 μB/f.u. For the volume, the calculation gives 100 Å³ per cell. The calculated density is 4.10 g/cm³.

AlGeAu after structural relaxation, computed with PBE.

It has space group P2_1/m (No. 11), with a = 3.097 Å, b = 3.995 Å, c = 9.559 Å, α = 90.00°, β = 99.29° and γ = 90.00°. The asymmetric unit holds Al at (0.205, 0.250, 0.408), Ge at (0.042, 0.750, 0.079) and Au at (0.345, 0.250, 0.689).

As for the total magnetization: 0.00 μB/f.u. For the volume, the calculation gives 117 Å³ per cell. The formation energy is -113.4 meV per atom. The calculated density is 8.44 g/cm³.

ZrPAu2 after structural relaxation, computed with PBE.

It has space group P4/mmm (No. 123), with a = 3.739 Å, b = 3.739 Å, c = 5.401 Å, α = 90.00°, β = 90.00° and γ = 90.00°. The asymmetric unit holds Zr at (0.000, 0.000, 0.000), P at (0.000, 0.000, 0.500) and Au at (0.500, 0.500, 0.251).

As for the total magnetization: 0.00 μB/f.u. For the volume, the calculation gives 76 Å³ per cell. The formation energy is -254.3 meV per atom. The calculated density is 11.35 g/cm³.

Ca3Sn2Au3 after structural relaxation, computed with PBE.

It has space group Cmcm (No. 63), with a = 4.631 Å, b = 11.475 Å, c = 15.278 Å, α = 90.00°, β = 90.00° and γ = 90.00°. The asymmetric unit holds Ca at (0.000, 0.077, 0.107), Ca at (0.000, 0.371, 0.250), Sn at (0.000, 0.216, 0.599), Au at (0.000, 0.354, 0.750) and Au at (0.000, 0.391, 0.043).

Its excess energy over the best structure of this formula in the dataset is 0.0 meV/atom. As for the total magnetization: 0.00 μB/f.u. For the volume, the calculation gives 812 Å³ per cell. The formation energy is -684.0 meV per atom. The calculated density is 7.76 g/cm³.

Al2SiCl after structural relaxation, computed with PBE.

It has space group Immm (No. 71), with a = 2.906 Å, b = 4.684 Å, c = 11.104 Å, α = 90.00°, β = 90.00° and γ = 90.00°. The asymmetric unit holds Al at (0.000, 0.000, 0.206), Si at (0.000, 0.500, 0.500) and Cl at (0.000, 0.500, 0.000).

Its excess energy over the best structure of this formula in the dataset is 183.2 meV/atom. The value obtained for the formation energy from raw total energies is 0.1434 eV/atom. As for the total magnetization: 0.00 μB/f.u. For the volume, the calculation gives 151 Å³ per cell. The calculated density is 2.58 g/cm³.

ZrReCl after structural relaxation, computed with PBE.

It has space group I4mm (No. 107), with a = 3.045 Å, b = 3.045 Å, c = 14.115 Å, α = 90.00°, β = 90.00° and γ = 90.00°. The asymmetric unit holds Zr at (0.000, 0.000, 0.000), Re at (0.000, 0.000, 0.373) and Cl at (0.000, 0.000, 0.631).

Its excess energy over the best structure of this formula in the dataset is 144.1 meV/atom. The value obtained for the formation energy from raw total energies is 0.1348 eV/atom. As for the total magnetization: 0.00 μB/f.u. For the volume, the calculation gives 131 Å³ per cell. The calculated density is 7.94 g/cm³.

Na2PaBS5 after structural relaxation, computed with PBE.

It has space group Cmc2_1 (No. 36), with a = 3.888 Å, b = 17.173 Å, c = 12.692 Å, α = 90.00°, β = 90.00° and γ = 90.00°. The asymmetric unit holds Na at (0.000, 0.088, 0.000), Na at (0.000, 0.098, 0.702), Pa at (0.000, 0.200, 0.390), B at (0.000, 0.421, 0.745), S at (0.000, 0.051, 0.343), S at (0.000, 0.308, 0.028), S at (0.000, 0.313, 0.737), S at (0.000, 0.344, 0.358) and S at (0.000, 0.484, 0.634).

The value obtained for the formation energy from raw total energies is -1.0344 eV/atom. As for the total magnetization: 0.00 μB/f.u. For the volume, the calculation gives 847 Å³ per cell. The calculated density is 3.51 g/cm³.

CrCuTc2 after structural relaxation, computed with PBE.

It has space group Cmmm (No. 65), with a = 3.028 Å, b = 4.222 Å, c = 8.451 Å, α = 90.00°, β = 90.00° and γ = 90.00°. The asymmetric unit holds Cr at (0.000, 0.000, 0.000), Cu at (0.000, 0.000, 0.500) and Tc at (0.000, 0.500, 0.240).

Its excess energy over the best structure of this formula in the dataset is 12.9 meV/atom. As for the total magnetization: 0.00 μB/f.u. For the volume, the calculation gives 108 Å³ per cell. The formation energy is 208.1 meV per atom. The calculated density is 9.58 g/cm³.